Density functional theory data (PBE-GGA) for CaNb2Bi2O9 after structural relaxation.

Cell lengths 3.921, 3.921, 27.193 Å; angles 90.00, 90.00, 90.00 degrees
Space group I4/mmm (No. 139)
Symmetry-distinct sites (fractional):
Ca1 0.000 0.000 0.000 (multiplicity 2)
Nb1 0.000 0.000 0.428 (multiplicity 4)
Bi1 0.000 0.000 0.297 (multiplicity 4)
O1 0.000 0.000 0.172 (multiplicity 4)
O2 0.000 0.000 0.500 (multiplicity 2)
O3 0.000 0.500 0.070 (multiplicity 8)
O4 0.000 0.500 0.250 (multiplicity 4)

Values from the calculation:
Its crystal system is tetragonal. The calculation puts the total energy at -193.75 eV/cell.

=====

Density functional theory data (PBE-GGA) for GdThTl2 after structural relaxation.

Cell lengths 7.745, 7.745, 7.745 Å; angles 90.00, 90.00, 90.00 degrees
Space group Fm-3m (No. 225)
Symmetry-distinct sites (fractional):
Gd1 0.000 0.000 0.000 (multiplicity 4)
Th1 0.000 0.000 0.500 (multiplicity 4)
Tl1 0.250 0.250 0.250 (multiplicity 8)

Values from the calculation:
The energy above the lowest structure with this stoichiometry comes out at 0.28 eV per formula unit. Its crystal system is cubic. For the calculated formation energy, the calculation gives -0.196 eV per atom. The calculation puts the total energy at -108.07 eV/cell.

=====

Density functional theory data (PBE-GGA) for CaTc2W after structural relaxation.

Cell lengths 6.437, 6.437, 6.437 Å; angles 90.00, 90.00, 90.00 degrees
Space group F-43m (No. 216)
Symmetry-distinct sites (fractional):
Ca1 0.000 0.000 0.000 (multiplicity 4)
Tc1 0.000 0.000 0.500 (multiplicity 4)
Tc2 0.250 0.250 0.750 (multiplicity 4)
W1 0.250 0.250 0.250 (multiplicity 4)

Values from the calculation:
The energy above the lowest structure with this stoichiometry comes out at 1.56 eV per formula unit. Its crystal system is cubic. For the calculated formation energy, the calculation gives 0.690 eV per atom. The calculation puts the total energy at -131.70 eV/cell.

=====

Density functional theory data (PBE-GGA) for RbLi2Ag after structural relaxation.

Cell lengths 5.682, 5.682, 18.089 Å; angles 90.00, 90.00, 90.00 degrees
Space group I-42d (No. 122)
Symmetry-distinct sites (fractional):
Rb1 0.000 0.000 0.000 (multiplicity 4)
Li1 0.003 0.750 0.625 (multiplicity 8)
Ag1 0.000 0.000 0.500 (multiplicity 4)

Values from the calculation:
Its crystal system is tetragonal. For the calculated formation energy, the calculation gives 0.147 eV per atom. The calculation puts the total energy at -28.23 eV/cell.

=====

Density functional theory data (PBE-GGA) for Ti2SnHPt after structural relaxation.

Cell lengths 4.139, 4.139, 4.108 Å; angles 90.00, 90.00, 90.00 degrees
Space group P4/mmm (No. 123)
Symmetry-distinct sites (fractional):
Ti1 0.000 0.500 0.000 (multiplicity 2)
Sn1 0.000 0.000 0.500 (multiplicity 1)
H1 0.500 0.500 0.000 (multiplicity 1)
Pt1 0.500 0.500 0.500 (multiplicity 1)

Values from the calculation:
Its crystal system is tetragonal. The calculation puts the total energy at -31.77 eV/cell.

=====

Density functional theory data (PBE-GGA) for CeSbF after structural relaxation.

Cell lengths 4.1446, 4.1446, 4.5699 Å; angles 90.00, 90.00, 120.00 degrees
Space group P-6m2 (No. 187)
Symmetry-distinct sites (fractional):
Ce1 0.0000 0.0000 0.0000 (multiplicity 1)
Sb1 0.6667 0.3333 0.5000 (multiplicity 1)
F1 0.3333 0.6667 0.0000 (multiplicity 1)

Values from the calculation:
The energy above the lowest structure with this stoichiometry comes out at 0.00 eV per formula unit. Its crystal system is hexagonal. The calculation puts the total energy at -18.26 eV/cell.

=====

Density functional theory data (PBE-GGA) for Pm2PrTmMg after structural relaxation.

Cell lengths 6.250, 5.683, 9.446 Å; angles 90.00, 108.50, 90.00 degrees
Space group P2_1/m (No. 11)
Symmetry-distinct sites (fractional):
Pm1 0.046 0.250 0.303 (multiplicity 2)
Pm2 0.123 0.750 0.108 (multiplicity 2)
Pr1 0.464 0.250 0.113 (multiplicity 2)
Tm1 0.343 0.750 0.501 (multiplicity 2)
Mg1 0.274 0.250 0.691 (multiplicity 2)

Values from the calculation:
Its crystal system is monoclinic. For the calculated formation energy, the calculation gives 0.019 eV per atom. The calculation puts the total energy at -40.51 eV/cell.

=====

Density functional theory data (PBE-GGA) for AcNdTeSe2 after structural relaxation.

Cell lengths 4.818, 4.818, 14.914 Å; angles 90.00, 90.00, 90.00 degrees
Space group I4mm (No. 107)
Symmetry-distinct sites (fractional):
Ac1 0.000 0.000 0.000 (multiplicity 2)
Nd1 0.000 0.000 0.724 (multiplicity 2)
Te1 0.000 0.000 0.371 (multiplicity 2)
Se1 0.000 0.500 0.122 (multiplicity 4)

Values from the calculation:
Its crystal system is tetragonal. The calculation puts the total energy at -52.96 eV/cell.

=====

Density functional theory data (PBE-GGA) for PuHf2Au after structural relaxation.

Cell lengths 3.2286, 3.2286, 29.1602 Å; angles 90.00, 90.00, 120.00 degrees
Space group R3m (No. 160, hexagonal axes)
Symmetry-distinct sites (fractional):
Pu1 0.0000 0.0000 0.0000 (multiplicity 3)
Hf1 0.0000 0.0000 0.5783 (multiplicity 3)
Hf2 0.0000 0.0000 0.7564 (multiplicity 3)
Au1 0.0000 0.0000 0.1678 (multiplicity 3)

Values from the calculation:
The energy above the lowest structure with this stoichiometry comes out at 0.60 eV per formula unit. Its crystal system is trigonal. For the calculated formation energy, the calculation gives -0.026 eV per atom. The calculation puts the total energy at -112.86 eV/cell.

=====

Density functional theory data (PBE-GGA) for Rb2SrSi2Se6 after structural relaxation.

Cell lengths 7.5273, 7.5273, 25.5863 Å; angles 90.00, 90.00, 120.00 degrees
Space group R-3m (No. 166, hexagonal axes)
Symmetry-distinct sites (fractional):
Rb1 0.0000 0.0000 0.2164 (multiplicity 6)
Sr1 0.0000 0.0000 0.0000 (multiplicity 3)
Si1 0.0000 0.0000 0.4164 (multiplicity 6)
Se1 0.0022 0.5011 0.7549 (multiplicity 18)

Values from the calculation:
Its crystal system is trigonal. The calculation puts the total energy at -135.71 eV/cell.

=====

Density functional theory data (PBE-GGA) for Dy4TmIn3 after structural relaxation.

Cell lengths 5.3490, 5.3490, 26.9554 Å; angles 90.00, 90.00, 120.00 degrees
Space group R-3m (No. 166, hexagonal axes)
Symmetry-distinct sites (fractional):
Dy1 0.0000 0.0000 0.1158 (multiplicity 6)
Dy2 0.0000 0.0000 0.3705 (multiplicity 6)
Tm1 0.0000 0.0000 0.5000 (multiplicity 3)
In1 0.0000 0.0000 0.0000 (multiplicity 3)
In2 0.0000 0.0000 0.2382 (multiplicity 6)

Values from the calculation:
The energy above the lowest structure with this stoichiometry comes out at 0.00 eV per formula unit. Its crystal system is trigonal. For the calculated formation energy, the calculation gives -0.319 eV per atom. The calculation puts the total energy at -100.94 eV/cell.

=====

Density functional theory data (PBE-GGA) for Ac6AgSn2 after structural relaxation.

Cell lengths 5.560, 7.966, 16.607 Å; angles 90.00, 90.00, 90.00 degrees
Space group Immm (No. 71)
Symmetry-distinct sites (fractional):
Ac1 0.000 0.239 0.000 (multiplicity 4)
Ac2 0.000 0.255 0.338 (multiplicity 8)
Ag1 0.000 0.500 0.500 (multiplicity 2)
Sn1 0.000 0.500 0.167 (multiplicity 4)

Values from the calculation:
Its crystal system is orthorhombic. For the calculated formation energy, the calculation gives -0.238 eV per atom. The calculation puts the total energy at -75.30 eV/cell.